Material: La2CrCuP
Method: DFT, GGA-PBE
State: relaxed

Values from the calculation:
M_tot (μB per cell): 0.21
Electronic total energy (Ha/atom): -0.2016

```
data_La2CrCuP
_chemical_formula_sum 'La2 Cr1 Cu1 P1'
_cell_length_a 5.663
_cell_length_b 5.663
_cell_length_c 4.200
_cell_angle_alpha 90.00
_cell_angle_beta 90.00
_cell_angle_gamma 90.00
_symmetry_space_group_name_H-M 'P 4/m m m'
_symmetry_Int_Tables_number 123
_symmetry_space_group_name_Hall '-P 4 2'
loop_
_atom_site_label
_atom_site_type_symbol
_atom_site_fract_x
_atom_site_fract_y
_atom_site_fract_z
La1 La 0.000 0.500 0.000
Cr1 Cr 0.000 0.000 0.500
Cu1 Cu 0.500 0.500 0.500
P1 P 0.500 0.500 0.000
```



Material: LiAcYPb
Method: DFT, GGA-PBE
State: relaxed

Values from the calculation:
M_tot (μB per cell): 0.00
Electronic total energy (Ha/atom): -0.1581

```
data_LiAcYPb
_chemical_formula_sum 'Li4 Ac4 Y4 Pb4'
_cell_length_a 7.879
_cell_length_b 7.879
_cell_length_c 7.879
_cell_angle_alpha 90.00
_cell_angle_beta 90.00
_cell_angle_gamma 90.00
_symmetry_space_group_name_H-M 'F -4 3 m'
_symmetry_Int_Tables_number 216
_symmetry_space_group_name_Hall 'F -4 2 3'
loop_
_atom_site_label
_atom_site_type_symbol
_atom_site_fract_x
_atom_site_fract_y
_atom_site_fract_z
Li1 Li 0.000 0.000 0.000
Ac1 Ac 0.250 0.250 0.250
Y1 Y 0.250 0.250 0.750
Pb1 Pb 0.000 0.000 0.500
```



Material: LaPaIr2
Method: DFT, GGA-PBE
State: relaxed

Values from the calculation:
Offset from the most stable computed form (meV per atom): 64
M_tot (μB per cell): 0.00
Electronic total energy (Ha/atom): -0.3244

```
data_LaPaIr2
_chemical_formula_sum 'La3 Pa3 Ir6'
_cell_length_a 4.5348
_cell_length_b 4.5348
_cell_length_c 16.1713
_cell_angle_alpha 90.00
_cell_angle_beta 90.00
_cell_angle_gamma 120.00
_symmetry_space_group_name_H-M 'R -3 m'
_symmetry_Int_Tables_number 166
_symmetry_space_group_name_Hall '-R 3 2"'
loop_
_atom_site_label
_atom_site_type_symbol
_atom_site_fract_x
_atom_site_fract_y
_atom_site_fract_z
La1 La 0.0000 0.0000 0.0000
Pa1 Pa 0.0000 0.0000 0.5000
Ir1 Ir 0.0000 0.0000 0.2176
```



Material: Na2NpTeO2
Method: DFT, GGA-PBE
State: relaxed

Values from the calculation:
ΔE_f (raw) (eV/atom): -1.837
M_tot (μB per cell): 3.00
Electronic total energy (Ha/atom): -0.2429

```
data_Na2NpTeO2
_chemical_formula_sum 'Na2 Np1 Te1 O2'
_cell_length_a 4.337
_cell_length_b 4.337
_cell_length_c 6.398
_cell_angle_alpha 90.00
_cell_angle_beta 90.00
_cell_angle_gamma 90.00
_symmetry_space_group_name_H-M 'P 4/m m m'
_symmetry_Int_Tables_number 123
_symmetry_space_group_name_Hall '-P 4 2'
loop_
_atom_site_label
_atom_site_type_symbol
_atom_site_fract_x
_atom_site_fract_y
_atom_site_fract_z
Na1 Na 0.000 0.000 0.241
Np1 Np 0.500 0.500 0.500
Te1 Te 0.500 0.500 0.000
O1 O 0.000 0.500 0.500
```